# 1
The following is a PBE calculation of a relaxed BaGa3Ir crystal, from the Alexandria database. Values from VASP.

Computed properties:
- Magnetic moment: 0.0 μB/cell
- E_form: -0.314 eV per atom
- Theoretical density: 7.4 g/cm³
- Volume: 24.32 Å³/atom

The structure in Quantum ESPRESSO input format:
```
&SYSTEM
  ibrav = 0, nat = 10, ntyp = 3
/
ATOMIC_SPECIES
Ba 137.33 Ba.upf
Ga 69.72 Ga.upf
Ir 192.22 Ir.upf
ATOMIC_POSITIONS crystal
Ba 0.157 0.157 0.319
Ba 0.843 0.843 0.681
Ga 0.147 0.147 0.850
Ga 0.420 0.420 0.389
Ga 0.496 0.496 0.862
Ga 0.504 0.504 0.138
Ga 0.580 0.580 0.611
Ga 0.853 0.853 0.150
Ir 0.323 0.323 0.999
Ir 0.677 0.677 0.001
CELL_PARAMETERS angstrom
6.347 -2.136 0.000
6.347 2.136 0.000
-0.040 0.000 8.970
```

***

# 2
The following is a PBE calculation of a relaxed BaGa2Ir crystal, from the Alexandria database. Values from VASP.

Computed properties:
- Magnetic moment: 0.0 μB/cell
- E_form: -0.504 eV per atom
- Theoretical density: 8.0 g/cm³
- Volume: 24.20 Å³/atom

The structure in Quantum ESPRESSO input format:
```
&SYSTEM
  ibrav = 0, nat = 8, ntyp = 3
/
ATOMIC_SPECIES
Ba 137.33 Ba.upf
Ga 69.72 Ga.upf
Ir 192.22 Ir.upf
ATOMIC_POSITIONS crystal
Ba 0.333 0.667 0.250
Ba 0.667 0.333 0.750
Ga 0.333 0.667 0.551
Ga 0.333 0.667 0.949
Ga 0.667 0.333 0.051
Ga 0.667 0.333 0.449
Ir 0.000 0.000 0.000
Ir 0.000 0.000 0.500
CELL_PARAMETERS angstrom
4.340 0.000 0.000
-2.170 3.759 0.000
0.000 0.000 11.870
```